Version A
AlAs2IrSe | GGA-PBE | relaxed

The structure in POSCAR format:
```
AlAs2IrSe
1.0
4.6688 0.0000 0.0000
0.0000 4.6688 0.0000
0.0000 0.0000 4.7367
Al As Ir Se
1 2 1 1
Cartesian
0.0000 0.0000 0.0000
0.0000 2.3344 0.0000
2.3344 0.0000 0.0000
2.3344 2.3344 2.3684
0.0000 0.0000 2.3684
```

Calculated values
- space group = P4/mmm (123)
- crystal system = tetragonal

---

Version B
AlAs2IrSe | GGA-PBE | relaxed

The structure in POSCAR format:
```
AlAs2IrSe
1.0
4.6888 0.0000 0.0000
0.0000 4.6888 0.0000
0.0000 0.0000 5.4837
Al As Ir Se
1 2 1 1
Cartesian
0.0000 0.0000 0.0000
0.0000 2.3444 2.7419
2.3444 0.0000 2.7419
2.3444 2.3444 2.7419
2.3444 2.3444 0.0000
```

Calculated values
- space group = P4/mmm (123)
- crystal system = tetragonal

---

Name the most stable of them. version B.

---

Version A
AlAsIrSe2 | GGA-PBE | relaxed

The structure in POSCAR format:
```
AlAsIrSe2
1.0
4.7128 0.0000 0.0000
0.0000 4.7128 0.0000
0.0000 0.0000 4.6958
Al As Ir Se
1 1 1 2
Cartesian
0.0000 0.0000 0.0000
0.0000 0.0000 2.3479
2.3564 2.3564 2.3479
0.0000 2.3564 0.0000
2.3564 0.0000 0.0000
```

Calculated values
- space group = P4/mmm (123)
- crystal system = tetragonal

---

Version B
AlAsIrSe2 | GGA-PBE | relaxed

The structure in POSCAR format:
```
AlAsIrSe2
1.0
5.1577 0.0000 0.0000
0.0000 5.1577 0.0000
0.0000 0.0000 4.5643
Al As Ir Se
1 1 1 2
Cartesian
0.0000 0.0000 0.0000
2.5788 2.5788 0.0000
2.5788 2.5788 2.2822
0.0000 2.5788 2.2822
2.5788 0.0000 2.2822
```

Calculated values
- space group = P4/mmm (123)
- crystal system = tetragonal

---

Name the most stable of them. version B.